1.
Computed, not measured: a relaxed structure of LiHoPd4 at the GGA-PBE level of DFT.

Output
D(E_F) = 1.82 states/eV per cell
size of the total moment = 0.0 μB per formula unit
raw total energy = -30.78 eV/cell
symmetry = C2/m (12)
formation enthalpy at 0 K = -56.6 kJ per mole of atoms

abc: 3.9704 5.0134 6.3831
angles: 104.82 71.88 66.67
With the nearest neighbours (Å) after each atom.
Fractional coordinates of all 6 atoms:
Li  0.0000  0.0000  0.0000  10 Pd 2.76-2.88, 2 Ho 2.90
Ho  0.5000  0.5000  0.5000  10 Pd 2.85-2.94, 2 Li 2.90
Pd  0.8322  0.4981  0.8375  7 Pd 2.79-3.01, 2 Ho 2.85, 3 Li 2.86-2.88
Pd  0.3468  0.9926  0.3139  2 Li 2.76, 7 Pd 2.80-3.01, 3 Ho 2.90-2.94
Pd  0.1678  0.5019  0.1625  7 Pd 2.79-3.01, 2 Ho 2.85, 3 Li 2.86-2.88
Pd  0.6532  0.0074  0.6861  2 Li 2.76, 7 Pd 2.80-3.01, 3 Ho 2.90-2.94

---

2.
Computed, not measured: a relaxed structure of LiHo2Pd9 at the GGA-PBE level of DFT.

Output
D(E_F) = 10.17 states/eV per cell
size of the total moment = 0.0 μB per formula unit
raw total energy = -65.79 eV/cell
symmetry = P4/mmm (123)
formation enthalpy at 0 K = -64.2 kJ per mole of atoms

abc: 4.1097 4.1097 11.7720
angles: 90.00 90.00 90.00
With the nearest neighbours (Å) after each atom.
Fractional coordinates of all 12 atoms:
Li  0.0000  0.0000  0.0000  12 Pd 2.74-2.91
Ho  0.0000  0.0000  0.3256  12 Pd 2.88-2.91
Ho  0.0000  0.0000  0.6744  12 Pd 2.88-2.91
Pd  0.5000  0.5000  0.0000  8 Pd 2.74, 4 Li 2.91
Pd  0.5000  0.5000  0.3260  8 Pd 2.89-2.90, 4 Ho 2.91
Pd  0.5000  0.5000  0.6740  8 Pd 2.89-2.90, 4 Ho 2.91
Pd  0.5000  0.0000  0.1539  2 Li 2.74, 8 Pd 2.74-2.91, 2 Ho 2.88
Pd  0.5000  0.0000  0.5000  8 Pd 2.90-2.91, 4 Ho 2.90
Pd  0.5000  0.0000  0.8461  2 Li 2.74, 8 Pd 2.74-2.91, 2 Ho 2.88
Pd  0.0000  0.5000  0.1539  2 Li 2.74, 8 Pd 2.74-2.91, 2 Ho 2.88
Pd  0.0000  0.5000  0.5000  8 Pd 2.90-2.91, 4 Ho 2.90
Pd  0.0000  0.5000  0.8461  2 Li 2.74, 8 Pd 2.74-2.91, 2 Ho 2.88

---

3.
Computed, not measured: a relaxed structure of Li5HoPd6 at the GGA-PBE level of DFT.

Output
D(E_F) = 2.33 states/eV per cell
size of the total moment = 0.0 μB per formula unit
raw total energy = -51.83 eV/cell
symmetry = P2/m (10)
formation enthalpy at 0 K = -52.5 kJ per mole of atoms

abc: 4.1806 6.8634 6.5982
angles: 90.00 108.59 90.00
With the nearest neighbours (Å) after each atom.
Fractional coordinates of all 12 atoms:
Ho  0.0000  0.0000  0.0000  8 Pd 2.80-2.81, 4 Li 3.06-3.07
Pd  0.8301  0.7349  0.6596  7 Li 2.59-2.78, 1 Ho 2.80, 2 Pd 2.89
Pd  0.8301  0.2651  0.6596  7 Li 2.59-2.78, 1 Ho 2.80, 2 Pd 2.89
Pd  0.5000  0.2731  0.0000  4 Li 2.61, 2 Ho 2.81
Pd  0.5000  0.7269  0.0000  4 Li 2.61, 2 Ho 2.81
Pd  0.1699  0.7349  0.3404  7 Li 2.59-2.78, 1 Ho 2.80, 2 Pd 2.89
Pd  0.1699  0.2651  0.3404  7 Li 2.59-2.78, 1 Ho 2.80, 2 Pd 2.89
Li  0.6671  0.5000  0.3351  8 Pd 2.59-2.64
Li  0.3208  0.0000  0.6420  8 Pd 2.62-2.92, 2 Li 2.74-2.75
Li  0.0000  0.5000  0.0000  8 Pd 2.61-2.67
Li  0.6792  0.0000  0.3580  8 Pd 2.62-2.92, 2 Li 2.74-2.75
Li  0.3329  0.5000  0.6649  8 Pd 2.59-2.64

---

4.
Computed, not measured: a relaxed structure of Li2HoPd8 at the GGA-PBE level of DFT.

Output
D(E_F) = 8.83 states/eV per cell
size of the total moment = 0.0 μB per formula unit
raw total energy = -55.06 eV/cell
symmetry = C2/m (12)
formation enthalpy at 0 K = -44.8 kJ per mole of atoms

abc: 4.0293 6.3490 7.3766
angles: 106.46 105.85 90.00
With the nearest neighbours (Å) after each atom.
Fractional coordinates of all 11 atoms:
Li  0.7723  0.3526  0.5446  10 Pd 2.68-2.83, 2 Li 2.94
Li  0.2277  0.6474  0.4554  10 Pd 2.68-2.83, 2 Li 2.94
Ho  0.5000  0.0000  0.0000  12 Pd 2.82-2.89
Pd  0.4039  0.5317  0.8078  3 Li 2.76-2.81, 8 Pd 2.76-2.87, 1 Ho 2.88
Pd  0.6846  0.9172  0.3691  3 Li 2.68-2.83, 8 Pd 2.73-2.88, 1 Ho 2.82
Pd  0.8562  0.7975  0.7124  3 Li 2.70-2.72, 7 Pd 2.76-2.94, 2 Ho 2.89
Pd  0.9523  0.2765  0.9047  1 Li 2.74, 9 Pd 2.76-2.94, 2 Ho 2.88
Pd  0.1438  0.2025  0.2876  3 Li 2.70-2.72, 7 Pd 2.76-2.94, 2 Ho 2.89
Pd  0.3154  0.0828  0.6309  3 Li 2.68-2.83, 8 Pd 2.73-2.88, 1 Ho 2.82
Pd  0.5961  0.4683  0.1922  3 Li 2.76-2.81, 8 Pd 2.76-2.87, 1 Ho 2.88
Pd  0.0477  0.7235  0.0953  1 Li 2.74, 9 Pd 2.76-2.94, 2 Ho 2.88

---

5.
Computed, not measured: a relaxed structure of Li4HoPd2 at the GGA-PBE level of DFT.

Output
D(E_F) = 6.10 states/eV per cell
size of the total moment = 0.0 μB per formula unit
raw total energy = -50.91 eV/cell
symmetry = P4_2/mnm (136)
formation enthalpy at 0 K = -39.1 kJ per mole of atoms

abc: 4.1174 7.6621 7.6621
angles: 90.00 90.00 90.00
With the nearest neighbours (Å) after each atom.
Fractional coordinates of all 14 atoms:
Li  0.0000  0.0989  0.3468  3 Pd 2.56-2.59, 6 Li 2.69-2.85
Li  0.0000  0.9011  0.6532  3 Pd 2.56-2.59, 6 Li 2.69-2.85
Li  0.5000  0.1532  0.5989  3 Pd 2.56-2.59, 6 Li 2.69-2.85
Li  0.5000  0.8468  0.4011  3 Pd 2.56-2.59, 6 Li 2.69-2.85
Li  0.5000  0.4011  0.8468  3 Pd 2.56-2.59, 6 Li 2.69-2.85
Li  0.5000  0.5989  0.1532  3 Pd 2.56-2.59, 6 Li 2.69-2.85
Li  0.0000  0.3468  0.0989  3 Pd 2.56-2.59, 6 Li 2.69-2.85
Li  0.0000  0.6532  0.9011  3 Pd 2.56-2.59, 6 Li 2.69-2.85
Ho  0.5000  0.0000  0.0000  6 Pd 3.01-3.22, 4 Li 3.29
Ho  0.0000  0.5000  0.5000  6 Pd 3.01-3.22, 4 Li 3.29
Pd  0.0000  0.2029  0.7971  6 Li 2.56-2.59
Pd  0.0000  0.7971  0.2029  6 Li 2.56-2.59
Pd  0.5000  0.7029  0.7029  6 Li 2.56-2.59
Pd  0.5000  0.2971  0.2971  6 Li 2.56-2.59

---

6.
Computed, not measured: a relaxed structure of LiHoPd4 at the GGA-PBE level of DFT.

Output
D(E_F) = 3.16 states/eV per cell
size of the total moment = 0.0 μB per formula unit
raw total energy = -30.93 eV/cell
symmetry = F-43m (216)
formation enthalpy at 0 K = -58.9 kJ per mole of atoms

abc: 5.3273 5.3273 5.3273
angles: 60.00 60.00 60.00
With the nearest neighbours (Å) after each atom.
Fractional coordinates of all 6 atoms:
Ho  0.0000  0.0000  0.0000  12 Pd 3.12, 4 Li 3.26
Pd  0.6248  0.6248  0.1257  6 Pd 2.66-2.67
Pd  0.6248  0.1257  0.6248  6 Pd 2.66-2.67
Pd  0.6248  0.6248  0.6248  6 Pd 2.66-2.67
Pd  0.1257  0.6248  0.6248  6 Pd 2.66-2.67
Li  0.2500  0.2500  0.2500  12 Pd 3.12, 4 Ho 3.26

---

7.
Computed, not measured: a relaxed structure of LiHo2Pd at the GGA-PBE level of DFT.

Output
D(E_F) = 2.80 states/eV per cell
size of the total moment = 0.0 μB per formula unit
raw total energy = -17.92 eV/cell
symmetry = P4/mmm (123)
formation enthalpy at 0 K = -39.9 kJ per mole of atoms

abc: 3.6355 4.9229 4.9229
angles: 90.00 90.00 90.00
With the nearest neighbours (Å) after each atom.
Fractional coordinates of all 4 atoms:
Ho  0.0000  0.0000  0.5000  4 Pd 3.06, 4 Li 3.06
Ho  0.0000  0.5000  0.0000  4 Pd 3.06, 4 Li 3.06
Pd  0.5000  0.5000  0.5000  8 Ho 3.06
Li  0.5000  0.0000  0.0000  8 Ho 3.06

---

8.
Computed, not measured: a relaxed structure of LiHo12Pd6 at the GGA-PBE level of DFT.

Output
D(E_F) = 19.78 states/eV per cell
size of the total moment = 0.0 μB per formula unit
raw total energy = -96.26 eV/cell
symmetry = R-3 (148)
formation enthalpy at 0 K = -41.9 kJ per mole of atoms

abc: 8.6876 8.6876 8.6876
angles: 108.90 108.90 108.90
With the nearest neighbours (Å) after each atom.
Fractional coordinates of all 19 atoms:
Li  0.0000  0.0000  0.0000  12 Ho 3.45-3.65
Ho  0.8511  0.6176  0.5541  3 Pd 2.78-2.97
Ho  0.5541  0.8511  0.6176  3 Pd 2.78-2.97
Ho  0.6176  0.5541  0.8511  3 Pd 2.78-2.97
Ho  0.1489  0.3824  0.4459  3 Pd 2.78-2.97
Ho  0.4459  0.1489  0.3824  3 Pd 2.78-2.97
Ho  0.3824  0.4459  0.1489  3 Pd 2.78-2.97
Ho  0.0327  0.8568  0.3306  3 Pd 2.79-2.86
Ho  0.1432  0.6694  0.9673  3 Pd 2.79-2.86
Ho  0.6694  0.9673  0.1432  3 Pd 2.79-2.86
Ho  0.9673  0.1432  0.6694  3 Pd 2.79-2.86
Ho  0.8568  0.3306  0.0327  3 Pd 2.79-2.86
Ho  0.3306  0.0327  0.8568  3 Pd 2.79-2.86
Pd  0.7071  0.7845  0.3565  6 Ho 2.78-2.97
Pd  0.6435  0.2929  0.2155  6 Ho 2.78-2.97
Pd  0.2155  0.6435  0.2929  6 Ho 2.78-2.97
Pd  0.2929  0.2155  0.6435  6 Ho 2.78-2.97
Pd  0.3565  0.7071  0.7845  6 Ho 2.78-2.97
Pd  0.7845  0.3565  0.7071  6 Ho 2.78-2.97

---

9.
Computed, not measured: a relaxed structure of Li4HoPd2 at the GGA-PBE level of DFT.

Output
D(E_F) = 3.29 states/eV per cell
size of the total moment = 0.0 μB per formula unit
raw total energy = -25.42 eV/cell
symmetry = Cmmm (65)
formation enthalpy at 0 K = -38.6 kJ per mole of atoms

abc: 3.8429 3.7883 8.9321
angles: 102.24 90.00 90.00
With the nearest neighbours (Å) after each atom.
Fractional coordinates of all 7 atoms:
Li  0.5000  0.8177  0.6354  2 Pd 2.63, 4 Li 2.70
Li  0.0000  0.6759  0.3517  2 Pd 2.58, 4 Li 2.70
Li  0.5000  0.1823  0.3646  2 Pd 2.63, 4 Li 2.70
Li  0.0000  0.3241  0.6483  2 Pd 2.58, 4 Li 2.70
Ho  0.0000  0.0000  0.0000  8 Pd 3.02
Pd  0.5000  0.5775  0.1550  4 Li 2.58-2.63, 1 Pd 2.71
Pd  0.5000  0.4225  0.8450  4 Li 2.58-2.63, 1 Pd 2.71

---

10.
Computed, not measured: a relaxed structure of LiHo3Pd2 at the GGA-PBE level of DFT.

Output
D(E_F) = 9.25 states/eV per cell
size of the total moment = 0.0 μB per formula unit
raw total energy = -59.23 eV/cell
symmetry = P-3m1 (164)
formation enthalpy at 0 K = -57.6 kJ per mole of atoms

abc: 4.9662 4.9662 12.3102
angles: 90.00 90.00 120.00
With the nearest neighbours (Å) after each atom.
Fractional coordinates of all 12 atoms:
Li  0.3333  0.6667  0.6703  8 Ho 3.07-3.12, 3 Pd 3.37
Li  0.6667  0.3333  0.3297  8 Ho 3.07-3.12, 3 Pd 3.37
Ho  0.3333  0.6667  0.4185  4 Pd 2.87-3.04, 4 Li 3.07-3.10
Ho  0.6667  0.3333  0.0762  7 Pd 3.02-3.22, 1 Li 3.12
Ho  0.0000  0.0000  0.7583  5 Pd 2.95-3.18, 3 Li 3.07
Ho  0.0000  0.0000  0.2417  5 Pd 2.95-3.18, 3 Li 3.07
Ho  0.3333  0.6667  0.9238  7 Pd 3.02-3.22, 1 Li 3.12
Ho  0.6667  0.3333  0.5815  4 Pd 2.87-3.04, 4 Li 3.07-3.10
Pd  0.0000  0.0000  0.5000  8 Ho 3.04-3.18
Pd  0.3333  0.6667  0.1856  7 Ho 2.87-3.17
Pd  0.6667  0.3333  0.8144  7 Ho 2.87-3.17
Pd  0.0000  0.0000  0.0000  8 Ho 2.97-3.02

---

11.
Computed, not measured: a relaxed structure of Li2HoPd8 at the GGA-PBE level of DFT.

Output
D(E_F) = 10.58 states/eV per cell
size of the total moment = 0.0 μB per formula unit
raw total energy = -54.16 eV/cell
symmetry = Immm (71)
formation enthalpy at 0 K = -37.0 kJ per mole of atoms

abc: 4.1113 6.7897 7.4542
angles: 117.09 106.01 90.00
With the nearest neighbours (Å) after each atom.
Fractional coordinates of all 11 atoms:
Li  0.1979  0.6979  0.3958  10 Pd 2.56-2.83
Li  0.8021  0.3021  0.6042  10 Pd 2.56-2.83
Ho  0.5000  0.0000  0.0000  12 Pd 2.82-2.91
Pd  0.6614  0.8749  0.3228  3 Li 2.56-2.63, 3 Pd 2.73-2.83, 1 Ho 2.82
Pd  0.3386  0.5521  0.6772  3 Li 2.56-2.63, 3 Pd 2.73-2.83, 1 Ho 2.82
Pd  0.1554  0.1554  0.3109  8 Pd 2.73-2.85, 2 Li 2.77, 2 Ho 2.84
Pd  0.0000  0.3036  0.0000  7 Pd 2.67-2.90, 2 Li 2.83, 2 Ho 2.91
Pd  0.8446  0.8446  0.6891  8 Pd 2.73-2.85, 2 Li 2.77, 2 Ho 2.84
Pd  0.6614  0.4479  0.3228  3 Li 2.56-2.63, 3 Pd 2.73-2.83, 1 Ho 2.82
Pd  0.3386  0.1251  0.6772  3 Li 2.56-2.63, 3 Pd 2.73-2.83, 1 Ho 2.82
Pd  0.0000  0.6964  0.0000  7 Pd 2.67-2.90, 2 Li 2.83, 2 Ho 2.91

---

12.
Computed, not measured: a relaxed structure of LiHo2Pd8 at the GGA-PBE level of DFT.

Output
D(E_F) = 3.28 states/eV per cell
size of the total moment = 0.0 μB per formula unit
raw total energy = -59.15 eV/cell
symmetry = C2/m (12)
formation enthalpy at 0 K = -57.3 kJ per mole of atoms

abc: 4.3858 6.0349 7.6111
angles: 103.64 106.75 90.00
With the nearest neighbours (Å) after each atom.
Fractional coordinates of all 11 atoms:
Li  0.5000  0.0000  0.0000  4 Pd 2.41-2.60
Ho  0.7916  0.3217  0.5833  10 Pd 2.79-3.08
Ho  0.2084  0.6783  0.4167  10 Pd 2.79-3.08
Pd  0.4050  0.5738  0.8101  1 Li 2.60, 5 Pd 2.77-2.90
Pd  0.6503  0.8992  0.3007  1 Li 2.41
Pd  0.8446  0.8194  0.6893  7 Pd 2.76-2.99, 3 Ho 2.91-2.94
Pd  0.9758  0.2651  0.9516  7 Pd 2.75-2.89, 2 Li 2.79, 1 Ho 2.79
Pd  0.1554  0.1806  0.3107  7 Pd 2.76-2.99, 3 Ho 2.91-2.94
Pd  0.3497  0.1008  0.6993  1 Li 2.41
Pd  0.5950  0.4262  0.1899  1 Li 2.60, 5 Pd 2.77-2.90
Pd  0.0242  0.7349  0.0484  7 Pd 2.75-2.89, 2 Li 2.79, 1 Ho 2.79